1.
The following is a DFT calculation (PBE-GGA) of an optimized crystal structure of LiSiOs.

Cell: 4.0354 4.0354 2.7628 Å, 90.00 90.00 120.00°
Last column: nearest neighbours and their distance in Å.
Element x y z (fractional)
Li (0.0000, 0.0000, 0.0000)  3 Si 2.50, 6 Os 2.66-2.76, 2 Li 2.76
Si (0.3333, 0.6667, 0.6754)  3 Os 2.40, 3 Li 2.50
Os (0.6667, 0.3333, 0.4657)  3 Si 2.40, 3 Li 2.66

Values from the calculation:
offset from the most stable computed form = 144 meV per atom
E_form (uncorrected) = -0.1389 eV/atom



2.
The following is a DFT calculation (PBE-GGA) of an optimized crystal structure of Li2Si2Os.

Cell: 6.3007 6.3007 3.4281 Å, 90.00 90.00 90.00°
Last column: nearest neighbours and their distance in Å.
Element x y z (fractional)
Li (0.1659, 0.3341, 0.0000)  6 Si 2.44-2.58
Li (0.3341, 0.8341, 0.0000)  6 Si 2.44-2.58
Li (0.6659, 0.1659, 0.0000)  6 Si 2.44-2.58
Li (0.8341, 0.6659, 0.0000)  6 Si 2.44-2.58
Si (0.1397, 0.6397, 0.5000)  2 Os 2.43, 6 Li 2.44-2.58, 1 Si 2.49
Si (0.3603, 0.1397, 0.5000)  2 Os 2.43, 6 Li 2.44-2.58, 1 Si 2.49
Si (0.6397, 0.8603, 0.5000)  2 Os 2.43, 6 Li 2.44-2.58, 1 Si 2.49
Si (0.8603, 0.3603, 0.5000)  2 Os 2.43, 6 Li 2.44-2.58, 1 Si 2.49
Os (0.0000, 0.0000, 0.5000)  4 Si 2.43
Os (0.5000, 0.5000, 0.5000)  4 Si 2.43

Values from the calculation:
E_form (uncorrected) = -0.1087 eV/atom



3.
The following is a DFT calculation (PBE-GGA) of an optimized crystal structure of LiSiOs2.

Cell: 2.7559 2.7559 8.2455 Å, 90.00 90.00 116.56°
Last column: nearest neighbours and their distance in Å.
Element x y z (fractional)
Li (0.0000, 0.0000, 0.0000)  4 Os 2.68, 6 Li 2.76-2.90
Si (0.0000, 0.0000, 0.5000)  4 Os 2.37
Os (0.5000, 0.5000, 0.2729)  2 Si 2.37
Os (0.5000, 0.5000, 0.7271)  2 Si 2.37

Values from the calculation:
E_form (uncorrected) = 0.1255 eV/atom



Number 1: N(E_F) 1.6 states/eV per cell, total moment 0.000 μB per formula unit. Number 2: N(E_F) 2.9 states/eV per cell, total moment 0.000 μB per formula unit. Number 3: N(E_F) 1.7 states/eV per cell, total moment 0.000 μB per formula unit.